No. 1
4
Lattice="1.929 0.000 11.149 -0.964 1.670 11.149 -0.964 -1.670 11.149" Properties=species:S:1:pos:R:3 comment="GGA-PBE RbSc2Cr, optimized geometry" de_polymorph_mev_per_atom=0 ef_ev_per_atom=0.671 space_group=R-3m dos_ef_per_ev_cell=6.15 total_energy_ha_per_atom=-0.189 magnetic_moment_mub_per_atom=0.607 pbc="T T T"
Sc 0.000 0.000 3.553
Rb 0.000 0.000 0.000
Sc 0.000 0.000 29.894
Cr 0.000 0.000 16.723

No. 2
4
Lattice="3.976 0.000 0.000 1.988 3.444 0.000 1.988 1.148 7.814" Properties=species:S:1:pos:R:3 comment="GGA-PBE NpSnSe2, optimized geometry" formation_energy_uncorrected_ev_per_atom=-0.602 space_group=R3m dos_ef_per_ev_cell=9.48 total_energy_ha_per_atom=-0.242 magnetic_moment_mub_per_atom=1.250 pbc="T T T"
Se 1.988 1.148 2.027
Se 1.988 1.148 5.732
Sn 3.976 2.296 0.053
Np 3.976 2.296 3.909

No. 3
7
Lattice="3.638 0.000 0.000 1.819 3.150 0.000 1.819 1.050 13.355" Properties=species:S:1:pos:R:3 comment="GGA-PBE Dy4C2Br, optimized geometry" formation_energy_uncorrected_ev_per_atom=-0.657 space_group=R-3m dos_ef_per_ev_cell=4.16 total_energy_ha_per_atom=-0.226 magnetic_moment_mub_per_atom=0.000 pbc="T T T"
C 3.638 2.100 3.534
Dy 1.819 1.050 8.404
Dy 1.819 1.050 2.309
Dy 5.456 3.150 4.950
Dy 5.456 3.150 11.046
Br 0.000 0.000 0.000
C 3.638 2.100 9.820

No. 4
5
Lattice="-1.392 -0.153 -5.149 1.035 -5.233 -0.124 -5.046 -1.031 1.394" Properties=species:S:1:pos:R:3 comment="GGA-PBE CaLa3F, optimized geometry" de_polymorph_mev_per_atom=0 formation_energy_uncorrected_ev_per_atom=-0.969 space_group=Pm-3m dos_ef_per_ev_cell=4.16 total_energy_ha_per_atom=-0.173 magnetic_moment_mub_per_atom=0.000 pbc="T T T"
La -0.696 -0.076 -2.574
La -2.523 -0.515 0.697
F 0.000 0.000 0.000
La 0.517 -2.616 -0.062
Ca -2.701 -3.208 -1.939

No. 5
4
Lattice="-1.246 1.640 -3.785 2.234 -0.893 -3.575 -1.693 -2.575 -3.011" Properties=species:S:1:pos:R:3 comment="GGA-PBE Al2VOs, optimized geometry" de_polymorph_mev_per_atom=0 ef_ev_per_atom=-0.305 space_group=Fm-3m dos_ef_per_ev_cell=2.87 total_energy_ha_per_atom=-0.267 magnetic_moment_mub_per_atom=0.521 pbc="T T T"
Al -0.528 -1.371 -7.778
V -0.352 -0.914 -5.185
Os 0.000 0.000 0.000
Al -0.176 -0.457 -2.593

No. 6
5
Lattice="6.102 0.000 0.000 0.000 5.243 0.000 0.000 0.000 6.102" Properties=species:S:1:pos:R:3 comment="GGA-PBE BaSb2MoN, optimized geometry" formation_energy_uncorrected_ev_per_atom=3.186 space_group=P4/mmm dos_ef_per_ev_cell=9.20 total_energy_ha_per_atom=-0.098 magnetic_moment_mub_per_atom=0.000 pbc="T T T"
Sb 3.051 0.000 0.000
N 3.051 2.621 3.051
Ba 0.000 0.000 0.000
Mo 0.000 2.621 0.000
Sb 0.000 0.000 3.051